Record 1
A relaxed structure of CrTcSbP2, computed with PBE-GGA.

The calculation puts the formation energy from raw total energies at 2.052 eV per atom. The total energy is -24.7 eV per cell. Its mass density is 4.7 Mg/m³.

It has space group P4/mmm (No. 123), with a = 5.015 Å, b = 5.015 Å, c = 4.731 Å, α = 90.00°, β = 90.00° and γ = 90.00°. The distinct sites, in fractional coordinates, are Cr at (0.000, 0.000, 0.000), Tc at (0.500, 0.500, 0.000), Sb at (0.000, 0.000, 0.500) and P at (0.000, 0.500, 0.500).


Record 2
A relaxed structure of CrSbTe2P, computed with PBE-GGA.

The calculation puts the formation energy from raw total energies at 1.202 eV per atom. The total energy is -19.4 eV per cell. Its mass density is 5.6 Mg/m³.

It has space group P4/mmm (No. 123), with a = 5.220 Å, b = 5.220 Å, c = 4.988 Å, α = 90.00°, β = 90.00° and γ = 90.00°. The distinct sites, in fractional coordinates, are Cr at (0.000, 0.000, 0.000), Sb at (0.500, 0.500, 0.000), Te at (0.000, 0.500, 0.500) and P at (0.500, 0.500, 0.500).